1.
Zn2SiBO: optimized geometry, PBE.

Values from the calculation:
The symmetry is No. 123. Its volume is 82 Å³ per cell.

abc: 4.6951 4.6951 3.7395
angles: 90.00 90.00 90.00
With the nearest neighbours (Å) after each atom.
Fractional coordinates of all 5 atoms:
Zn: 0.0000 0.5000 0.0000  2 Si 2.35
Zn: 0.5000 0.0000 0.0000  2 Si 2.35
Si: 0.0000 0.0000 0.0000  2 B 1.87
B: 0.0000 0.0000 0.5000  2 Si 1.87
O: 0.5000 0.5000 0.5000  8 Zn 3.00, 4 B 3.32


2.
ZnSiB2O6: optimized geometry, PBE.

Values from the calculation:
The symmetry is No. 15. Its volume is 253 Å³ per cell.

abc: 7.6419 7.6419 4.8144
angles: 107.49 107.49 77.29
With the nearest neighbours (Å) after each atom.
Fractional coordinates of all 20 atoms:
Zn: 0.0560 0.9440 0.7500  2 O 1.88
Zn: 0.9440 0.0560 0.2500  2 O 1.88
Si: 0.2392 0.7608 0.2500  4 O 1.64
Si: 0.7608 0.2392 0.7500  4 O 1.64
B: 0.2868 0.3894 0.9321  3 O 1.37-1.39
B: 0.3894 0.2868 0.4321  3 O 1.37-1.39
B: 0.6106 0.7132 0.5679  3 O 1.37-1.39
B: 0.7132 0.6106 0.0679  3 O 1.37-1.39
O: 0.0496 0.7884 0.3616  1 Si 1.64
O: 0.2116 0.9504 0.1384  1 Si 1.64
O: 0.2562 0.5787 0.9669  1 B 1.38
O: 0.2785 0.3218 0.1657  2 B 1.37-1.39
O: 0.3218 0.2785 0.6657  2 B 1.37-1.39
O: 0.4213 0.7438 0.5331  1 B 1.38
O: 0.5787 0.2562 0.4669  1 B 1.38
O: 0.6782 0.7215 0.3343  2 B 1.37-1.39
O: 0.7215 0.6782 0.8343  2 B 1.37-1.39
O: 0.7438 0.4213 0.0331  1 B 1.38
O: 0.7884 0.0496 0.8616  1 Si 1.64
O: 0.9504 0.2116 0.6384  1 Si 1.64


3.
ZrSi2BO: optimized geometry, PBE.

Values from the calculation:
The symmetry is No. 123. Its volume is 113 Å³ per cell.

abc: 5.3505 5.3505 3.9447
angles: 90.00 90.00 90.00
With the nearest neighbours (Å) after each atom.
Fractional coordinates of all 5 atoms:
Zr: 0.0000 0.0000 0.0000  2 O 1.97
Si: 0.0000 0.5000 0.0000  2 Zr 2.68
Si: 0.5000 0.0000 0.0000  2 Zr 2.68
B: 0.5000 0.5000 0.5000  8 Si 3.32
O: 0.0000 0.0000 0.5000  2 Zr 1.97


4.
SmB3O6: optimized geometry, PBE.

Values from the calculation:
The symmetry is No. 62. Its volume is 1523 Å³ per cell.

abc: 16.2619 7.5051 12.4825
angles: 90.00 90.00 90.00
With the nearest neighbours (Å) after each atom.
Fractional coordinates of all 160 atoms:
Sm: 0.0481 0.2500 0.0864  7 O 2.41-2.56
Sm: 0.1183 0.7500 0.5067  7 O 2.33-2.55
Sm: 0.1284 0.7500 0.2270  8 O 2.38-2.56
Sm: 0.1712 0.2500 0.4318  7 O 2.34-2.61
Sm: 0.3288 0.7500 0.9318  7 O 2.34-2.61
Sm: 0.3716 0.2500 0.7270  8 O 2.38-2.56
Sm: 0.3817 0.2500 0.0067  7 O 2.33-2.55
Sm: 0.4519 0.7500 0.5864  7 O 2.41-2.56
Sm: 0.5481 0.2500 0.4136  7 O 2.41-2.56
Sm: 0.6183 0.7500 0.9933  7 O 2.33-2.55
Sm: 0.6284 0.7500 0.2730  8 O 2.38-2.56
Sm: 0.6712 0.2500 0.0682  7 O 2.34-2.61
Sm: 0.8288 0.7500 0.5682  7 O 2.34-2.61
Sm: 0.8716 0.2500 0.7730  8 O 2.38-2.56
Sm: 0.8817 0.2500 0.4933  7 O 2.33-2.55
Sm: 0.9519 0.7500 0.9136  7 O 2.41-2.56
B: 0.0299 0.0610 0.3199  4 O 1.45-1.53
B: 0.0299 0.4390 0.3199  4 O 1.45-1.53
B: 0.0584 0.0729 0.8449  4 O 1.46-1.52
B: 0.0584 0.4271 0.8449  4 O 1.46-1.52
B: 0.1099 0.0773 0.6445  4 O 1.46-1.54
B: 0.1099 0.4227 0.6445  4 O 1.46-1.54
B: 0.1545 0.5757 0.9810  4 O 1.47-1.48
B: 0.1545 0.9243 0.9810  4 O 1.47-1.48
B: 0.2166 0.0703 0.8116  4 O 1.45-1.54
B: 0.2166 0.4297 0.8116  4 O 1.45-1.54
B: 0.2438 0.0690 0.1276  4 O 1.45-1.53
B: 0.2438 0.4310 0.1276  4 O 1.45-1.53
B: 0.2562 0.5690 0.6276  4 O 1.45-1.53
B: 0.2562 0.9310 0.6276  4 O 1.45-1.53
B: 0.2834 0.5703 0.3116  4 O 1.45-1.54
B: 0.2834 0.9297 0.3116  4 O 1.45-1.54
B: 0.3455 0.0757 0.4810  4 O 1.47-1.48
B: 0.3455 0.4243 0.4810  4 O 1.47-1.48
B: 0.3901 0.5773 0.1445  4 O 1.46-1.54
B: 0.3901 0.9227 0.1445  4 O 1.46-1.54
B: 0.4416 0.5729 0.3449  4 O 1.46-1.52
B: 0.4416 0.9271 0.3449  4 O 1.46-1.52
B: 0.4701 0.5610 0.8199  4 O 1.45-1.53
B: 0.4701 0.9390 0.8199  4 O 1.45-1.53
B: 0.5299 0.0610 0.1801  4 O 1.45-1.53
B: 0.5299 0.4390 0.1801  4 O 1.45-1.53
B: 0.5584 0.0729 0.6551  4 O 1.46-1.52
B: 0.5584 0.4271 0.6551  4 O 1.46-1.52
B: 0.6099 0.0773 0.8555  4 O 1.46-1.54
B: 0.6099 0.4227 0.8555  4 O 1.46-1.54
B: 0.6545 0.5757 0.5190  4 O 1.47-1.48
B: 0.6545 0.9243 0.5190  4 O 1.47-1.48
B: 0.7166 0.0703 0.6884  4 O 1.45-1.54
B: 0.7166 0.4297 0.6884  4 O 1.45-1.54
B: 0.7438 0.0690 0.3724  4 O 1.45-1.53
B: 0.7438 0.4310 0.3724  4 O 1.45-1.53
B: 0.7562 0.5690 0.8724  4 O 1.45-1.53
B: 0.7562 0.9310 0.8724  4 O 1.45-1.53
B: 0.7834 0.5703 0.1884  4 O 1.45-1.54
B: 0.7834 0.9297 0.1884  4 O 1.45-1.54
B: 0.8455 0.0757 0.0190  4 O 1.47-1.48
B: 0.8455 0.4243 0.0190  4 O 1.47-1.48
B: 0.8901 0.5773 0.3555  4 O 1.46-1.54
B: 0.8901 0.9227 0.3555  4 O 1.46-1.54
B: 0.9416 0.5729 0.1551  4 O 1.46-1.52
B: 0.9416 0.9271 0.1551  4 O 1.46-1.52
B: 0.9701 0.5610 0.6801  4 O 1.45-1.53
B: 0.9701 0.9390 0.6801  4 O 1.45-1.53
O: 0.0189 0.5168 0.2078  2 B 1.48-1.53
O: 0.0189 0.9832 0.2078  2 B 1.48-1.53
O: 0.0481 0.2500 0.8936  2 B 1.47
O: 0.0485 0.5613 0.6242  2 B 1.45-1.46
O: 0.0485 0.9387 0.6242  2 B 1.45-1.46
O: 0.0618 0.2500 0.3030  2 B 1.52
O: 0.0721 0.5529 0.9328  2 B 1.46-1.48
O: 0.0721 0.9471 0.9328  2 B 1.46-1.48
O: 0.0794 0.2500 0.6085  2 B 1.46
O: 0.0946 0.5391 0.3726  1 B 1.45
O: 0.0946 0.9609 0.3726  1 B 1.45
O: 0.1291 0.0726 0.7652  3 B 1.52-1.54
O: 0.1291 0.4274 0.7652  3 B 1.52-1.54
O: 0.1611 0.7500 0.0347  2 B 1.47
O: 0.1665 0.0602 0.0654  2 B 1.48
O: 0.1665 0.4398 0.0654  2 B 1.48
O: 0.1841 0.0340 0.5790  2 B 1.49-1.53
O: 0.1841 0.4660 0.5790  2 B 1.49-1.53
O: 0.2181 0.5587 0.8981  2 B 1.45-1.47
O: 0.2181 0.9413 0.8981  2 B 1.45-1.47
O: 0.2247 0.7500 0.6337  2 B 1.45
O: 0.2257 0.5140 0.2298  2 B 1.45
O: 0.2257 0.9860 0.2298  2 B 1.45
O: 0.2447 0.2500 0.8486  2 B 1.50
O: 0.2553 0.7500 0.3486  2 B 1.50
O: 0.2743 0.0140 0.7298  2 B 1.45
O: 0.2743 0.4860 0.7298  2 B 1.45
O: 0.2753 0.2500 0.1337  2 B 1.45
O: 0.2819 0.0587 0.3981  2 B 1.45-1.47
O: 0.2819 0.4413 0.3981  2 B 1.45-1.47
O: 0.3159 0.5340 0.0790  2 B 1.49-1.53
O: 0.3159 0.9660 0.0790  2 B 1.49-1.53
O: 0.3335 0.5602 0.5654  2 B 1.48
O: 0.3335 0.9398 0.5654  2 B 1.48
O: 0.3389 0.2500 0.5347  2 B 1.47
O: 0.3709 0.5726 0.2652  3 B 1.52-1.54
O: 0.3709 0.9274 0.2652  3 B 1.52-1.54
O: 0.4054 0.0391 0.8726  1 B 1.45
O: 0.4054 0.4609 0.8726  1 B 1.45
O: 0.4206 0.7500 0.1085  2 B 1.46
O: 0.4279 0.0529 0.4328  2 B 1.46-1.48
O: 0.4279 0.4471 0.4328  2 B 1.46-1.48
O: 0.4382 0.7500 0.8030  2 B 1.52
O: 0.4515 0.0613 0.1242  2 B 1.45-1.46
O: 0.4515 0.4387 0.1242  2 B 1.45-1.46
O: 0.4519 0.7500 0.3936  2 B 1.47
O: 0.4811 0.0168 0.7078  2 B 1.48-1.53
O: 0.4811 0.4832 0.7078  2 B 1.48-1.53
O: 0.5189 0.5168 0.2922  2 B 1.48-1.53
O: 0.5189 0.9832 0.2922  2 B 1.48-1.53
O: 0.5481 0.2500 0.6064  2 B 1.47
O: 0.5485 0.5613 0.8758  2 B 1.45-1.46
O: 0.5485 0.9387 0.8758  2 B 1.45-1.46
O: 0.5618 0.2500 0.1970  2 B 1.52
O: 0.5721 0.5529 0.5672  2 B 1.46-1.48
O: 0.5721 0.9471 0.5672  2 B 1.46-1.48
O: 0.5794 0.2500 0.8915  2 B 1.46
O: 0.5946 0.5391 0.1274  1 B 1.45
O: 0.5946 0.9609 0.1274  1 B 1.45
O: 0.6291 0.0726 0.7348  3 B 1.52-1.54
O: 0.6291 0.4274 0.7348  3 B 1.52-1.54
O: 0.6611 0.7500 0.4653  2 B 1.47
O: 0.6665 0.0602 0.4346  2 B 1.48
O: 0.6665 0.4398 0.4346  2 B 1.48
O: 0.6841 0.0340 0.9210  2 B 1.49-1.53
O: 0.6841 0.4660 0.9210  2 B 1.49-1.53
O: 0.7181 0.5587 0.6019  2 B 1.45-1.47
O: 0.7181 0.9413 0.6019  2 B 1.45-1.47
O: 0.7247 0.7500 0.8663  2 B 1.45
O: 0.7257 0.5140 0.2702  2 B 1.45
O: 0.7257 0.9860 0.2702  2 B 1.45
O: 0.7447 0.2500 0.6514  2 B 1.50
O: 0.7553 0.7500 0.1514  2 B 1.50
O: 0.7743 0.0140 0.7702  2 B 1.45
O: 0.7743 0.4860 0.7702  2 B 1.45
O: 0.7753 0.2500 0.3663  2 B 1.45
O: 0.7819 0.0587 0.1019  2 B 1.45-1.47
O: 0.7819 0.4413 0.1019  2 B 1.45-1.47
O: 0.8159 0.5340 0.4210  2 B 1.49-1.53
O: 0.8159 0.9660 0.4210  2 B 1.49-1.53
O: 0.8335 0.5602 0.9346  2 B 1.48
O: 0.8335 0.9398 0.9346  2 B 1.48
O: 0.8389 0.2500 0.9653  2 B 1.47
O: 0.8709 0.5726 0.2348  3 B 1.52-1.54
O: 0.8709 0.9274 0.2348  3 B 1.52-1.54
O: 0.9054 0.0391 0.6274  1 B 1.45
O: 0.9054 0.4609 0.6274  1 B 1.45
O: 0.9206 0.7500 0.3915  2 B 1.46
O: 0.9279 0.0529 0.0672  2 B 1.46-1.48
O: 0.9279 0.4471 0.0672  2 B 1.46-1.48
O: 0.9382 0.7500 0.6970  2 B 1.52
O: 0.9515 0.0613 0.3758  2 B 1.45-1.46
O: 0.9515 0.4387 0.3758  2 B 1.45-1.46
O: 0.9519 0.7500 0.1064  2 B 1.47
O: 0.9811 0.0168 0.7922  2 B 1.48-1.53
O: 0.9811 0.4832 0.7922  2 B 1.48-1.53


5.
SmB3O6: optimized geometry, PBE.

Values from the calculation:
The symmetry is No. 15. Its volume is 204 Å³ per cell.

abc: 6.3841 6.3841 6.3582
angles: 117.44 117.44 79.18
With the nearest neighbours (Å) after each atom.
Fractional coordinates of all 20 atoms:
Sm: 0.2037 0.7963 0.7500  8 O 2.36-2.55
Sm: 0.7963 0.2037 0.2500  8 O 2.36-2.55
B: 0.2074 0.3387 0.9122  3 O 1.34-1.42
B: 0.2225 0.7775 0.2500  4 O 1.46-1.49
B: 0.3387 0.2074 0.4122  3 O 1.34-1.42
B: 0.6613 0.7926 0.5878  3 O 1.34-1.42
B: 0.7775 0.2225 0.7500  4 O 1.46-1.49
B: 0.7926 0.6613 0.0878  3 O 1.34-1.42
O: 0.0093 0.7825 0.2916  2 B 1.42-1.49
O: 0.2060 0.3866 0.4933  1 B 1.34
O: 0.2137 0.5834 0.0056  2 B 1.39-1.46
O: 0.2175 0.9907 0.2084  2 B 1.42-1.49
O: 0.3866 0.2060 0.9933  1 B 1.34
O: 0.4166 0.7863 0.4944  2 B 1.39-1.46
O: 0.5834 0.2137 0.5056  2 B 1.39-1.46
O: 0.6134 0.7940 0.0067  1 B 1.34
O: 0.7825 0.0093 0.7916  2 B 1.42-1.49
O: 0.7863 0.4166 0.9944  2 B 1.39-1.46
O: 0.7940 0.6134 0.5067  1 B 1.34
O: 0.9907 0.2175 0.7084  2 B 1.42-1.49


6.
SmB2O4: optimized geometry, PBE.

Values from the calculation:
The symmetry is No. 5. Its volume is 171 Å³ per cell.

abc: 5.9151 5.9151 7.2495
angles: 124.30 124.30 64.96
With the nearest neighbours (Å) after each atom.
Fractional coordinates of all 14 atoms:
Sm: 0.0000 0.0000 0.0000  8 O 2.42-2.49
Sm: 0.6833 0.3167 0.5000  4 O 2.35-2.42
B: 0.0102 0.5712 0.1699  3 O 1.34-1.41
B: 0.1797 0.5957 0.6026  3 O 1.39-1.51
B: 0.4043 0.8203 0.3974  3 O 1.39-1.51
B: 0.4288 0.9898 0.8301  3 O 1.34-1.41
O: 0.0572 0.5364 0.6841  1 B 1.39
O: 0.0861 0.4661 0.3335  2 B 1.41-1.47
O: 0.0969 0.8199 0.2702  2 B 1.40-1.51
O: 0.1801 0.9031 0.7298  2 B 1.40-1.51
O: 0.4636 0.9428 0.3159  1 B 1.39
O: 0.5339 0.9139 0.6665  2 B 1.41-1.47
O: 0.5898 0.1239 0.0715  1 B 1.34
O: 0.8761 0.4102 0.9285  1 B 1.34


Calculated uncorrected energy (Ry/atom), listed in the same order as above: -0.22233 -0.52772 -0.39642 -0.60383 -0.60253 -0.57745
Calculated formation energy without anion corrections (meV/atom), listed in the same order as above: 896 -2200 812 -2765 -2748 -2441
Calculated total magnetization (μB per cell), listed in the same order as above: 0.00 0.00 0.00 0.00 0.00 2.00